{"formula": "MnCdAs", "functional": "meta-GGA SCAN", "state": "single point on PBEsol structure", "formation_enthalpy_0k_kcal_per_mol_atoms": 0.9, "total_magnetization_mub_per_fu": 4.1, "polymorph_energy_mev_per_atom": 0, "lattice_angstrom": [[-0.262, -1.553, 4.081], [-1.777, -3.929, 0.735], [2.530, -3.349, 1.232]], "species": ["Mn", "As", "Cd"], "frac_coords": [[0.500, 0.500, 0.500], [0.250, 0.250, 0.250], [0.000, 0.000, 0.000]]}